Record 1
Material: Tb7Hg2Bi2
Method: DFT, PBE
State: relaxed

Cell and atoms, written as POSCAR:
```
Tb7Hg2Bi2
1.0
7.330 -0.003 -0.300
0.003 6.895 0.003
-0.756 -0.003 7.297
Bi Tb Hg
2 7 2
Cartesian
1.305 3.446 1.388 Bi
5.273 3.443 5.612 Bi
3.290 5.175 3.501 Tb
-0.377 1.755 3.650 Tb
3.288 1.715 3.500 Tb
6.955 5.134 3.351 Tb
2.910 1.752 7.148 Tb
3.668 5.137 -0.148 Tb
0.000 0.000 0.000 Tb
1.469 6.892 5.213 Hg
5.109 -0.003 1.788 Hg
```

Output
- E_form (kJ per mole of atoms) = -17.2

Record 2
Material: Tb6Hg2BiTe3
Method: DFT, PBE
State: relaxed

Cell and atoms, written as POSCAR:
```
Tb6Hg2BiTe3
1.0
4.318 0.000 0.000
0.000 8.896 -0.243
-2.159 -3.144 9.336
Tb Te Bi Hg
6 3 1 2
Cartesian
0.000 2.227 0.148 Tb
0.000 5.686 5.913 Tb
2.159 0.066 3.179 Tb
0.000 1.288 6.212 Tb
2.159 4.464 2.881 Tb
2.159 3.525 8.945 Tb
2.159 4.448 -0.122 Te
0.000 6.693 2.790 Te
2.159 -0.941 6.303 Te
2.159 0.000 0.000 Bi
0.000 2.304 3.351 Hg
2.159 3.448 5.741 Hg
```

Output
- E_form (uncorrected) (eV per atom) = -0.959

Number 1: VASP energy -3.886 eV per atom. Number 2: VASP energy -4.434 eV per atom.